(1)
Below is a geometry-optimized Rb4MgSe4O14 structure, with properties calculated at the PBE level.

a = 8.576 Å, b = 7.934 Å, c = 7.922 Å
α = 83.04°, β = 91.09°, γ = 60.54°
Atoms (fractional coordinates):
Rb: 0.658 0.564 0.592
Rb: 0.269 0.067 0.838
Rb: 0.171 0.599 0.490
Rb: 0.819 0.777 0.052
Mg: 0.511 0.214 0.262
Se: 0.713 0.025 0.579
Se: 0.300 0.586 0.954
Se: 0.198 0.093 0.356
Se: 0.821 0.303 0.107
O: 0.712 0.930 0.391
O: 0.328 0.492 0.166
O: 0.107 0.278 0.465
O: 0.897 0.348 0.929
O: 0.627 0.922 0.721
O: 0.281 0.433 0.840
O: 0.331 0.113 0.213
O: 0.753 0.472 0.231
O: 0.541 0.263 0.501
O: 0.472 0.619 0.904
O: 0.290 0.878 0.476
O: 0.701 0.192 0.092
O: 0.110 0.803 0.924
O: 0.023 0.085 0.233

Summary:
Offset from the most stable computed form in meV/atom: 0
Uncorrected formation energy in meV/atom: -1270
Total magnetic moment in Bohr magnetons per cell: 0.11
Final energy in eV per cell: -118.03
Space group: P1, No. 1

(2)
Below is a geometry-optimized CoMoSe2 structure, with properties calculated at the PBE level.

a = 4.465 Å, b = 4.465 Å, c = 4.465 Å
α = 60.00°, β = 60.00°, γ = 60.00°
Atoms (fractional coordinates):
Co: 0.500 0.500 0.500
Mo: 0.750 0.750 0.750
Se: 0.000 0.000 0.000
Se: 0.250 0.250 0.250

Summary:
Offset from the most stable computed form in meV/atom: 949
Uncorrected formation energy in meV/atom: 695
Total magnetic moment in Bohr magnetons per cell: 0.00
Final energy in eV per cell: -22.13
Space group: F-43m, No. 216

(3)
Below is a geometry-optimized Er4Cu3 structure, with properties calculated at the PBE level.

a = 4.827 Å, b = 4.827 Å, c = 8.363 Å
α = 73.22°, β = 73.22°, γ = 60.00°
Atoms (fractional coordinates):
Er: 0.624 0.624 0.128
Er: 0.874 0.874 0.377
Er: 0.126 0.126 0.623
Er: 0.376 0.376 0.872
Cu: 0.250 0.250 0.249
Cu: 0.750 0.750 0.751
Cu: 0.000 0.000 0.000

Summary:
Calculated formation energy in eV per formula unit: -1.1
Total magnetic moment in Bohr magnetons per cell: 0.00
Final energy in eV per cell: -31.60
Space group: R-3m, No. 166